# 1
Computed, not measured: a geometry-optimized Sc3Pt5Au structure at the PBE-GGA level of DFT.

Lattice parameters (Å, degrees): 8.0235 8.0235 5.5861 90.00 90.00 120.00
Space group P6_3/mcm (No. 193)
One atom of each set of equivalent atoms:
Sc 0.0000 0.3476 0.2500 x6
Pt 0.0000 0.3253 0.7500 x6
Pt 0.3333 0.6667 0.0000 x4
Au 0.0000 0.0000 0.0000 x2

## Properties
DFT total energy ... -6.845 eV/atom
N(E_F) ... 7.7 states/eV/cell
Formation energy from the elements ... -1.014 eV per atom
Volume ... 311.4 Å³/cell

# 2
Computed, not measured: a geometry-optimized ScPtAu structure at the PBE-GGA level of DFT.

Lattice parameters (Å, degrees): 4.5739 4.5739 2.9643 90.00 90.00 120.00
Space group P3m1 (No. 156)
One atom of each set of equivalent atoms:
Sc 0.0000 0.0000 0.0000 x1
Pt 0.3333 0.6667 0.7048 x1
Au 0.6667 0.3333 0.3774 x1

## Properties
DFT total energy ... -5.939 eV/atom
Energy above the lowest structure with this stoichiometry ... 201 meV per atom
N(E_F) ... 1.6 states/eV/cell
Formation energy from the elements ... -0.723 eV per atom
Volume ... 53.7 Å³/cell

# 3
Computed, not measured: a geometry-optimized Sc2SiPtAu structure at the PBE-GGA level of DFT.

Lattice parameters (Å, degrees): 5.139 5.139 4.447 90.00 90.00 90.00
Space group P4/mmm (No. 123)
One atom of each set of equivalent atoms:
Sc 0.000 0.500 0.000 x2
Si 0.000 0.000 0.500 x1
Pt 0.000 0.000 0.000 x1
Au 0.500 0.500 0.500 x1

## Properties
DFT total energy ... -5.780 eV/atom
N(E_F) ... 9.9 states/eV/cell
Volume ... 117.4 Å³/cell
Uncorrected formation energy ... -0.299 eV per atom

Repeat the third record exactly.
Computed, not measured: a geometry-optimized Sc2SiPtAu structure at the PBE-GGA level of DFT.

Lattice parameters (Å, degrees): 5.139 5.139 4.447 90.00 90.00 90.00
Space group P4/mmm (No. 123)
One atom of each set of equivalent atoms:
Sc 0.000 0.500 0.000 x2
Si 0.000 0.000 0.500 x1
Pt 0.000 0.000 0.000 x1
Au 0.500 0.500 0.500 x1

## Properties
DFT total energy ... -5.780 eV/atom
N(E_F) ... 9.9 states/eV/cell
Volume ... 117.4 Å³/cell
Uncorrected formation energy ... -0.299 eV per atom

Repeat the first record exactly.
Computed, not measured: a geometry-optimized Sc3Pt5Au structure at the PBE-GGA level of DFT.

Lattice parameters (Å, degrees): 8.0235 8.0235 5.5861 90.00 90.00 120.00
Space group P6_3/mcm (No. 193)
One atom of each set of equivalent atoms:
Sc 0.0000 0.3476 0.2500 x6
Pt 0.0000 0.3253 0.7500 x6
Pt 0.3333 0.6667 0.0000 x4
Au 0.0000 0.0000 0.0000 x2

## Properties
DFT total energy ... -6.845 eV/atom
N(E_F) ... 7.7 states/eV/cell
Formation energy from the elements ... -1.014 eV per atom
Volume ... 311.4 Å³/cell

The highest DFT total energy belongs to which entry? Sc2SiPtAu

DFT total energy of number 1 (Sc3Pt5Au)? -6.845 eV/atom